This record from Alexandria describes crystalline Li2Mg2Pt at its relaxed geometry. The functional is GGA-PBE.

Computed properties:
The energy above the most stable polymorph in this dataset is 84.7 meV/atom. The space group is Immm. The calculation puts the total moment at 0.000 μB/cell.

Cell: 4.9023 4.3503 5.1193 Å, 64.86 61.39 90.00°
Last column: nearest neighbours and their distance in Å.
Positions (direct):
Li: 0.2579 0.5000 0.0000  2 Li 2.37-2.53, 2 Pt 2.52
Li: 0.7421 0.5000 0.0000  2 Li 2.37-2.53, 2 Pt 2.52
Mg: 0.6974 0.1974 0.6053  6 Li 2.70-2.92, 2 Pt 2.90
Mg: 0.3026 0.8026 0.3947  6 Li 2.70-2.92, 2 Pt 2.90
Pt: 0.0000 0.0000 0.0000  4 Li 2.52


This record from Alexandria describes crystalline Li2MgPt at its relaxed geometry. The functional is GGA-PBE.

Computed properties:
The space group is R-3m. The calculation puts the total moment at 0.000 μB/cell.

Cell: 9.4688 9.4688 9.4688 Å, 17.42 17.42 17.42°
Last column: nearest neighbours and their distance in Å.
Positions (direct):
Mg: 0.7500 0.7500 0.7500  6 Mg 2.87, 6 Li 3.10
Pt: 0.2500 0.2500 0.2500  6 Li 2.63, 6 Pt 2.87
Li: 0.5104 0.5104 0.5104  3 Pt 2.63, 6 Li 2.87
Li: 0.9896 0.9896 0.9896  3 Pt 2.63, 6 Li 2.87


This record from Alexandria describes crystalline Li5MgPt2 at its relaxed geometry. The functional is GGA-PBE.

Computed properties:
The space group is Pbam. The calculation puts the total moment at 0.000 μB/cell.

Cell: 3.8723 5.5656 11.0526 Å, 90.00 90.00 90.00°
Last column: nearest neighbours and their distance in Å.
Positions (direct):
Pt: 0.5000 0.2343 0.6236  2 Mg 2.70, 10 Li 2.72-2.83
Pt: 0.5000 0.7657 0.3764  2 Mg 2.70, 10 Li 2.72-2.83
Pt: 0.5000 0.7343 0.8764  2 Mg 2.70, 10 Li 2.72-2.83
Pt: 0.5000 0.2657 0.1236  2 Mg 2.70, 10 Li 2.72-2.83
Li: 0.0000 0.5191 0.2545  7 Li 2.69-2.78, 4 Pt 2.73-2.80, 1 Mg 2.81
Li: 0.0000 0.4809 0.7455  7 Li 2.69-2.78, 4 Pt 2.73-2.80, 1 Mg 2.81
Li: 0.0000 0.5000 0.5000  6 Li 2.72, 2 Mg 2.78, 4 Pt 2.79
Li: 0.5000 0.2256 0.8695  6 Li 2.69-2.76, 4 Pt 2.72-2.83, 2 Mg 2.86
Li: 0.5000 0.2744 0.3695  6 Li 2.69-2.76, 4 Pt 2.72-2.83, 2 Mg 2.86
Li: 0.5000 0.7256 0.6305  6 Li 2.69-2.76, 4 Pt 2.72-2.83, 2 Mg 2.86
Li: 0.5000 0.7744 0.1305  6 Li 2.69-2.76, 4 Pt 2.72-2.83, 2 Mg 2.86
Li: 0.0000 0.0000 0.0000  6 Li 2.72, 2 Mg 2.78, 4 Pt 2.79
Li: 0.0000 0.0191 0.2455  7 Li 2.69-2.78, 4 Pt 2.73-2.80, 1 Mg 2.81
Li: 0.0000 0.9809 0.7545  7 Li 2.69-2.78, 4 Pt 2.73-2.80, 1 Mg 2.81
Mg: 0.0000 0.5000 0.0000  4 Pt 2.70, 8 Li 2.78-2.86
Mg: 0.0000 0.0000 0.5000  4 Pt 2.70, 8 Li 2.78-2.86


no.,energy of formation from the pure elements (meV/atom),theoretical density (g/cm3),total energy (eV/cell)
1,-321,5.099,-14.662
2,-304,5.835,-12.677
3,-410,6.263,-53.044